Entry 1:
Compound: TlGe2Ir
Source: the Alexandria database
Functional: PBE-GGA
Structure: optimized geometry

Calculated values
For the calculated formation energy, the calculation gives 0.21 eV/atom. The value obtained for the density of states at the Fermi level is 1.131 states/eV per cell.

```
TlGe2Ir
1.0
-2.7828 2.7828 7.1349
2.7828 -2.7828 7.1349
2.7828 2.7828 -7.1349
Tl Ge Ir
2 4 2
Direct
0.0000 0.0000 0.0000 Tl
0.7500 0.2500 0.5000 Tl
0.2576 0.6250 0.1326 Ge
0.3750 0.5076 0.6326 Ge
0.4924 0.1250 0.8674 Ge
0.8750 0.7424 0.3674 Ge
0.2500 0.7500 0.5000 Ir
0.5000 0.5000 0.0000 Ir
```

***

Entry 2:
Compound: TlGe2Ir
Source: the Alexandria database
Functional: PBE-GGA
Structure: optimized geometry

Calculated values
For the calculated formation energy, the calculation gives 0.43 eV/atom. The value obtained for the density of states at the Fermi level is 1.513 states/eV per cell.

```
TlGe2Ir
1.0
0.0000 3.3577 3.3577
3.3577 0.0000 3.3577
3.3577 3.3577 0.0000
Tl Ge Ir
1 2 1
Direct
0.0000 0.0000 0.0000 Tl
0.2500 0.2500 0.2500 Ge
0.7500 0.7500 0.7500 Ge
0.5000 0.5000 0.5000 Ir
```

***

Entry 3:
Compound: TlGe2Ir2
Source: the Alexandria database
Functional: PBE-GGA
Structure: optimized geometry

Calculated values
For the calculated formation energy, the calculation gives -0.06 eV/atom. The value obtained for the density of states at the Fermi level is 1.943 states/eV per cell.

```
TlGe2Ir2
1.0
-2.1430 2.1430 5.1863
2.1430 -2.1430 5.1863
2.1430 2.1430 -5.1863
Tl Ge Ir
1 2 2
Direct
0.0000 0.0000 0.0000 Tl
0.3718 0.3718 0.0000 Ge
0.6282 0.6282 0.0000 Ge
0.2500 0.7500 0.5000 Ir
0.7500 0.2500 0.5000 Ir
```

***

Entry 4:
Compound: TlGe2Ir2
Source: the Alexandria database
Functional: PBE-GGA
Structure: optimized geometry

Calculated values
For the calculated formation energy, the calculation gives 0.06 eV/atom. The value obtained for the density of states at the Fermi level is 4.460 states/eV per cell.

```
TlGe2Ir2
1.0
7.7360 0.0000 0.0000
0.0000 7.7360 0.0000
0.0000 0.0000 2.9080
Tl Ge Ir
2 4 4
Direct
0.0000 0.0000 0.0000 Tl
0.5000 0.5000 0.0000 Tl
0.1457 0.3543 0.5000 Ge
0.3543 0.8543 0.5000 Ge
0.6457 0.1457 0.5000 Ge
0.8543 0.6457 0.5000 Ge
0.1407 0.6407 0.0000 Ir
0.3593 0.1407 0.0000 Ir
0.6407 0.8593 0.0000 Ir
0.8593 0.3593 0.0000 Ir
```

***

Entry 5:
Compound: Tl2Ge2Ir
Source: the Alexandria database
Functional: PBE-GGA
Structure: optimized geometry

Calculated values
For the calculated formation energy, the calculation gives 0.10 eV/atom. The value obtained for the density of states at the Fermi level is 4.497 states/eV per cell.

```
Tl2Ge2Ir
1.0
6.4750 0.0000 0.0000
0.0000 6.4750 0.0000
0.0000 0.0000 5.4043
Tl Ge Ir
4 4 2
Direct
0.1892 0.3108 0.0000 Tl
0.3108 0.8108 0.0000 Tl
0.6892 0.1892 0.0000 Tl
0.8108 0.6892 0.0000 Tl
0.1459 0.6459 0.5000 Ge
0.3541 0.1459 0.5000 Ge
0.6459 0.8541 0.5000 Ge
0.8541 0.3541 0.5000 Ge
0.0000 0.0000 0.5000 Ir
0.5000 0.5000 0.5000 Ir
```

***

Entry 6:
Compound: Tl3GeIr
Source: the Alexandria database
Functional: PBE-GGA
Structure: optimized geometry

Calculated values
For the calculated formation energy, the calculation gives 0.48 eV/atom. The value obtained for the density of states at the Fermi level is 4.207 states/eV per cell.

```
Tl3GeIr
1.0
5.2832 0.0000 0.0000
0.0000 5.2832 0.0000
0.0000 0.0000 5.2832
Tl Ge Ir
3 1 1
Direct
0.0000 0.0000 0.5000 Tl
0.0000 0.5000 0.0000 Tl
0.5000 0.0000 0.0000 Tl
0.5000 0.5000 0.5000 Ge
0.0000 0.0000 0.0000 Ir
```

***

Entry 7:
Compound: TlGe2Ir2
Source: the Alexandria database
Functional: PBE-GGA
Structure: optimized geometry

Calculated values
For the calculated formation energy, the calculation gives -0.01 eV/atom. The value obtained for the density of states at the Fermi level is 2.460 states/eV per cell.

```
TlGe2Ir2
1.0
-1.9649 1.9649 5.9523
1.9649 -1.9649 5.9523
1.9649 1.9649 -5.9523
Tl Ge Ir
1 2 2
Direct
0.0000 0.0000 0.0000 Tl
0.2500 0.7500 0.5000 Ge
0.7500 0.2500 0.5000 Ge
0.3791 0.3791 0.0000 Ir
0.6209 0.6209 0.0000 Ir
```

***

Entry 8:
Compound: TlGe2IrW
Source: the Alexandria database
Functional: PBE-GGA
Structure: optimized geometry

Calculated values
For the calculated formation energy, the calculation gives 0.92 eV/atom. The value obtained for the density of states at the Fermi level is 4.091 states/eV per cell.

```
TlGe2IrW
1.0
4.7387 0.0000 0.0000
0.0000 4.7387 0.0000
0.0000 0.0000 5.1058
Tl Ge Ir W
1 2 1 1
Direct
0.0000 0.0000 0.0000 Tl
0.0000 0.5000 0.5000 Ge
0.5000 0.0000 0.5000 Ge
0.5000 0.5000 0.5000 Ir
0.5000 0.5000 0.0000 W
```

***

Entry 9:
Compound: TmGeIr
Source: the Alexandria database
Functional: PBE-GGA
Structure: optimized geometry

Calculated values
For the calculated formation energy, the calculation gives -0.93 eV/atom. The value obtained for the density of states at the Fermi level is 7.254 states/eV per cell.

```
TmGeIr
1.0
6.8435 0.0000 0.0000
0.0000 4.3559 0.0000
0.0000 0.0000 7.4985
Tm Ge Ir
4 4 4
Direct
0.0102 0.2500 0.2014 Tm
0.4898 0.7500 0.7014 Tm
0.5102 0.2500 0.2986 Tm
0.9898 0.7500 0.7986 Tm
0.1831 0.2500 0.5848 Ge
0.3169 0.7500 0.0848 Ge
0.6831 0.2500 0.9152 Ge
0.8169 0.7500 0.4152 Ge
0.2100 0.7500 0.4112 Ir
0.2900 0.2500 0.9112 Ir
0.7100 0.7500 0.0888 Ir
0.7900 0.2500 0.5888 Ir
```

***

Entry 10:
Compound: TmGeIr2
Source: the Alexandria database
Functional: PBE-GGA
Structure: optimized geometry

Calculated values
For the calculated formation energy, the calculation gives -0.47 eV/atom. The value obtained for the density of states at the Fermi level is 2.041 states/eV per cell.

```
TmGeIr2
1.0
3.6818 0.0000 0.0000
0.0000 3.8863 0.0000
0.0000 0.0000 5.7350
Tm Ge Ir
1 1 2
Direct
0.0000 0.0000 0.0000 Tm
0.0000 0.5000 0.5000 Ge
0.5000 0.5000 0.2269 Ir
0.5000 0.5000 0.7731 Ir
```

***

Entry 11:
Compound: Tm3Ge13Ir4
Source: the Alexandria database
Functional: PBE-GGA
Structure: optimized geometry

Calculated values
For the calculated formation energy, the calculation gives -0.50 eV/atom. The value obtained for the density of states at the Fermi level is 11.836 states/eV per cell.

```
Tm3Ge13Ir4
1.0
9.0079 0.0000 0.0000
0.0000 9.0079 0.0000
0.0000 0.0000 9.0079
Tm Ge Ir
6 26 8
Direct
0.0000 0.2500 0.5000 Tm
0.0000 0.7500 0.5000 Tm
0.2500 0.5000 0.0000 Tm
0.5000 0.0000 0.2500 Tm
0.5000 0.0000 0.7500 Tm
0.7500 0.5000 0.0000 Tm
0.0000 0.0000 0.0000 Ge
0.0000 0.3093 0.1446 Ge
0.0000 0.3093 0.8554 Ge
0.0000 0.6907 0.1446 Ge
0.0000 0.6907 0.8554 Ge
0.1446 0.0000 0.3093 Ge
0.1446 0.0000 0.6907 Ge
0.1907 0.5000 0.3554 Ge
0.1907 0.5000 0.6446 Ge
0.3093 0.1446 0.0000 Ge
0.3093 0.8554 0.0000 Ge
0.3554 0.1907 0.5000 Ge
0.3554 0.8093 0.5000 Ge
0.5000 0.3554 0.1907 Ge
0.5000 0.3554 0.8093 Ge
0.5000 0.5000 0.5000 Ge
0.5000 0.6446 0.1907 Ge
0.5000 0.6446 0.8093 Ge
0.6446 0.1907 0.5000 Ge
0.6446 0.8093 0.5000 Ge
0.6907 0.1446 0.0000 Ge
0.6907 0.8554 0.0000 Ge
0.8093 0.5000 0.3554 Ge
0.8093 0.5000 0.6446 Ge
0.8554 0.0000 0.3093 Ge
0.8554 0.0000 0.6907 Ge
0.2500 0.2500 0.2500 Ir
0.2500 0.2500 0.7500 Ir
0.2500 0.7500 0.2500 Ir
0.2500 0.7500 0.7500 Ir
0.7500 0.2500 0.2500 Ir
0.7500 0.2500 0.7500 Ir
0.7500 0.7500 0.2500 Ir
0.7500 0.7500 0.7500 Ir
```

***

Entry 12:
Compound: TmGeIr2
Source: the Alexandria database
Functional: PBE-GGA
Structure: optimized geometry

Calculated values
For the calculated formation energy, the calculation gives -0.57 eV/atom. The value obtained for the density of states at the Fermi level is 0.871 states/eV per cell.

```
TmGeIr2
1.0
4.2564 0.0000 0.0000
0.0000 4.2564 0.0000
0.0000 0.0000 3.7085
Tm Ge Ir
1 1 2
Direct
0.0000 0.0000 0.0000 Tm
0.5000 0.5000 0.0000 Ge
0.0000 0.5000 0.5000 Ir
0.5000 0.0000 0.5000 Ir
```